Record 1
This record from Alexandria via LeMat-Bulk describes an optimized crystal structure of CsAlO3. The functional is GGA-PBE.

a = 4.4130 Å, b = 4.4130 Å, c = 4.4130 Å
α = 90.00°, β = 90.00°, γ = 90.00°
Last column: nearest neighbours and their distance in Å.
Element x y z (fractional)
Cs1 0.0000 0.0000 0.0000  6 O 2.21
Al1 0.5000 0.5000 0.5000  12 O 3.12
O1 0.0000 0.0000 0.5000  2 Cs 2.21
O2 0.0000 0.5000 0.0000  2 Cs 2.21
O3 0.5000 0.0000 0.0000  2 Cs 2.21

Values from the calculation:
Magnetic moment, μB/f.u.: 0.00
E_form (uncorrected), kJ/mol of atoms: 67
DOS(E_F), states/eV/f.u.: 2.90

***

Record 2
This record from Alexandria via LeMat-Bulk describes an optimized crystal structure of Zr3ReH. The functional is GGA-PBE.

a = 5.1077 Å, b = 5.1077 Å, c = 5.1077 Å
α = 90.00°, β = 90.00°, γ = 90.00°
Last column: nearest neighbours and their distance in Å.
Element x y z (fractional)
Zr1 0.0000 0.0000 0.5000  2 Re 2.55
Zr2 0.0000 0.5000 0.0000  2 Re 2.55
Zr3 0.5000 0.0000 0.0000  2 Re 2.55
Re1 0.0000 0.0000 0.0000  6 Zr 2.55
H1 0.5000 0.5000 0.5000  12 Zr 3.61

Values from the calculation:
Magnetic moment, μB/f.u.: 0.00
Final energy, eV/atom: -7.127
DOS(E_F), states/eV/f.u.: 7.14

***

Record 3
This record from Alexandria via LeMat-Bulk describes an optimized crystal structure of KHgIO2. The functional is GGA-PBE.

a = 4.5469 Å, b = 4.5469 Å, c = 6.0697 Å
α = 90.00°, β = 90.00°, γ = 90.00°
Last column: nearest neighbours and their distance in Å.
Element x y z (fractional)
K1 0.0000 0.0000 0.0000  4 I 3.22
Hg1 0.5000 0.5000 0.5000  4 O 2.27
I1 0.5000 0.5000 0.0000  2 Hg 3.03, 4 K 3.22
O1 0.0000 0.5000 0.5000  2 Hg 2.27
O2 0.5000 0.0000 0.5000  2 Hg 2.27

Values from the calculation:
Magnetic moment, μB/f.u.: 1.44
E_form (uncorrected), kJ/mol of atoms: -10
DOS(E_F), states/eV/f.u.: 5.16

***

Record 4
This record from Alexandria via LeMat-Bulk describes an optimized crystal structure of ErHgRh. The functional is GGA-PBE.

a = 4.6291 Å, b = 4.6291 Å, c = 4.6291 Å
α = 60.00°, β = 60.00°, γ = 60.00°
Last column: nearest neighbours and their distance in Å.
Element x y z (fractional)
Er1 0.0000 0.0000 0.0000  4 Rh 2.83
Hg1 0.5000 0.5000 0.5000  4 Rh 2.83
Rh1 0.7500 0.7500 0.7500  4 Hg 2.83, 4 Er 2.83

Values from the calculation:
Magnetic moment, μB/f.u.: 0.00
ΔE_f, eV/atom: -0.49
DOS(E_F), states/eV/f.u.: 1.46

***

Record 5
This record from Alexandria via LeMat-Bulk describes an optimized crystal structure of KLaAg2Se. The functional is GGA-PBE.

a = 5.2267 Å, b = 5.2267 Å, c = 5.6484 Å
α = 90.00°, β = 90.00°, γ = 90.00°
Last column: nearest neighbours and their distance in Å.
Element x y z (fractional)
K1 0.0000 0.0000 0.0000  2 Se 2.82
La1 0.5000 0.5000 0.0000  4 K 3.70, 8 Ag 3.85
Ag1 0.0000 0.5000 0.5000  2 Se 2.61
Ag2 0.5000 0.0000 0.5000  2 Se 2.61
Se1 0.0000 0.0000 0.5000  4 Ag 2.61, 2 K 2.82

Values from the calculation:
Magnetic moment, μB/f.u.: 0.00
E_form (uncorrected), kJ/mol of atoms: 21
DOS(E_F), states/eV/f.u.: 5.55

***

Record 6
This record from Alexandria via LeMat-Bulk describes an optimized crystal structure of LaIn2Ag. The functional is GGA-PBE.

a = 6.0050 Å, b = 6.0050 Å, c = 3.1258 Å
α = 90.39°, β = 90.39°, γ = 111.43°
Last column: nearest neighbours and their distance in Å.
Element x y z (fractional)
La1 0.0000 0.0000 0.0000  2 La 3.13, 8 In 3.38-3.39, 2 Ag 3.38
In1 0.0000 0.5000 0.5000  4 In 3.13-3.38, 4 La 3.38-3.39, 4 Ag 3.38-3.39
In2 0.5000 0.0000 0.5000  4 In 3.13-3.38, 4 La 3.38-3.39, 4 Ag 3.38-3.39
Ag1 0.5000 0.5000 0.0000  2 Ag 3.13, 8 In 3.38-3.39, 2 La 3.38

Values from the calculation:
Magnetic moment, μB/f.u.: 0.00
ΔE_f, eV/atom: -0.14
DOS(E_F), states/eV/f.u.: 2.70